A relaxed structure of TaTe2AsBr. Source: the Alexandria database, functional PBE-GGA.

Output
For the theoretical density, the calculation gives 6.52 g/cm3. Its uncorrected formation energy is 0.919 eV per atom.

abc: 5.483 5.483 5.006
angles: 90.00 90.00 90.00
Site moments in Bohr magnetons follow the coordinates.
Fractional coordinates of all 5 atoms:
As 0.000 0.000 0.000  -0.02
Te 0.000 0.500 0.000  -0.23
Te 0.500 0.000 0.000  -0.23
Br 0.500 0.500 0.500  -0.12
Ta 0.000 0.000 0.500  1.28